## Tb5Nd5Y2 (PBE-GGA)

Data for an optimized crystal structure of Tb5Nd5Y2.

Cell: 15.3590 5.1074 11.4180 Å, 90.00 116.62 90.00°
Space group C2/m (No. 12)
Symmetry-distinct sites (fractional):
Tb: 0.0000 0.0000 0.0000
Tb: 0.0838 0.0000 0.7512
Tb: 0.1669 0.0000 0.5001
Nd: 0.0000 0.5000 0.5000
Nd: 0.0827 0.5000 0.2492
Nd: 0.2494 0.5000 0.7500
Y: 0.1664 0.5000 0.9993

Summary:
formation enthalpy at 0 K	0.02	eV per atom
density of states at the Fermi level	17.74	states/eV/f.u.